A geometry-optimized Tc2PtSe structure. Source: the Alexandria database, functional PBE-GGA.

a b c (Å): 4.7806 4.7806 4.7806
angles (deg): 130.55 130.55 72.52
Last column: nearest neighbours and their distance in Å.
Fractional coordinates of all 4 atoms:
1 Tc 0.0000 0.0000 0.0000  4 Tc 2.78, 4 Pt 2.78, 4 Se 2.83
2 Tc 0.7500 0.2500 0.5000  4 Se 2.78, 4 Tc 2.78, 4 Pt 2.83
3 Pt 0.2500 0.7500 0.5000  4 Se 2.78, 8 Tc 2.78-2.83
4 Se 0.5000 0.5000 0.0000  8 Tc 2.78-2.83, 4 Pt 2.78

Calculated values
ΔE_f (raw) ... 359 meV/atom
Space-group type ... I-4m2
Spin magnetization ... 0.000 μB/atom

A geometry-optimized La6PrPd2 structure. Source: the Alexandria database, functional PBE-GGA.

a b c (Å): 6.5362 6.5362 9.5505
angles (deg): 90.10 90.10 44.78
Last column: nearest neighbours and their distance in Å.
Fractional coordinates of all 9 atoms:
1 La 0.0907 0.0907 0.3604  3 Pd 2.95-3.17
2 La 0.2935 0.2935 0.8894  1 Pd 2.87
3 La 0.3902 0.3902 0.3127  3 Pd 3.15-3.17, 2 La 3.50
4 La 0.6098 0.6098 0.6873  3 Pd 3.15-3.17, 2 La 3.50
5 La 0.7065 0.7065 0.1106  1 Pd 2.87
6 La 0.9093 0.9093 0.6396  3 Pd 2.95-3.17
7 Pr 0.0000 0.0000 0.0000  8 La 3.61-3.70
8 Pd 0.2510 0.2510 0.5938  7 La 2.87-3.17, 2 Pd 3.07
9 Pd 0.7490 0.7490 0.4062  7 La 2.87-3.17, 2 Pd 3.07

Calculated values
Space-group type ... C2/m
ΔH_f (0 K) ... -0.29 eV/atom
Spin magnetization ... 0.000 μB/atom

A geometry-optimized La4Ho5Sc structure. Source: the Alexandria database, functional PBE-GGA.

a b c (Å): 8.1554 8.1554 8.1554
angles (deg): 97.55 97.55 137.50
Last column: nearest neighbours and their distance in Å.
Fractional coordinates of all 10 atoms:
1 La 0.0000 0.3203 0.3203  5 Ho 3.38-3.75, 1 Sc 3.72
2 La 0.0000 0.6797 0.6797  5 Ho 3.38-3.75, 1 Sc 3.72
3 La 0.3203 0.0000 0.3203  5 Ho 3.38-3.75, 1 Sc 3.72
4 La 0.6797 0.0000 0.6797  5 Ho 3.38-3.75, 1 Sc 3.72
5 Ho 0.2437 0.2437 0.0000  2 Sc 2.83-3.08
6 Ho 0.3361 0.3361 0.6282  1 Sc 3.17, 3 Ho 3.27-3.54, 2 La 3.38
7 Ho 0.3361 0.7079 0.0000  1 Sc 3.17, 3 Ho 3.27-3.54, 2 La 3.38
8 Ho 0.7079 0.3361 0.0000  1 Sc 3.17, 3 Ho 3.27-3.54, 2 La 3.38
9 Ho 0.7079 0.7079 0.3718  1 Sc 3.17, 3 Ho 3.27-3.54, 2 La 3.38
10 Sc 0.7641 0.7641 0.0000  6 Ho 2.83-3.17

Calculated values
Distance to the lowest polymorph of the same formula ... 0.0164 eV/atom
Space-group type ... I4mm
ΔH_f (0 K) ... 0.21 eV/atom
Spin magnetization ... 0.000 μB/atom

A geometry-optimized Nd2Y8Sc3 structure. Source: the Alexandria database, functional PBE-GGA.

a b c (Å): 8.7114 8.7114 6.0020
angles (deg): 108.85 108.85 80.57
Last column: nearest neighbours and their distance in Å.
Fractional coordinates of all 13 atoms:
1 Nd 0.1791 0.1791 0.3464  6 Y 3.08-3.40
2 Nd 0.8209 0.8209 0.6536  6 Y 3.08-3.40
3 Y 0.0879 0.0879 0.7819  3 Nd 3.08-3.31, 3 Y 3.20-3.34, 2 Sc 3.39
4 Y 0.1120 0.5752 0.3469  3 Sc 3.22-3.59, 1 Y 3.34, 1 Nd 3.40
5 Y 0.3643 0.3643 0.8881  1 Nd 3.14, 2 Y 3.27-3.45, 4 Sc 3.34-3.50
6 Y 0.4248 0.8880 0.6531  3 Sc 3.22-3.59, 1 Y 3.34, 1 Nd 3.40
7 Y 0.5752 0.1120 0.3469  3 Sc 3.22-3.59, 1 Y 3.34, 1 Nd 3.40
8 Y 0.6357 0.6357 0.1119  1 Nd 3.14, 2 Y 3.27-3.45, 4 Sc 3.34-3.50
9 Y 0.8880 0.4248 0.6531  3 Sc 3.22-3.59, 1 Y 3.34, 1 Nd 3.40
10 Y 0.9121 0.9121 0.2181  3 Nd 3.08-3.31, 3 Y 3.20-3.34, 2 Sc 3.39
11 Sc 0.2367 0.7633 0.0000  8 Y 3.39-3.59, 2 Nd 3.59
12 Sc 0.5000 0.5000 0.5000  8 Y 3.22-3.50
13 Sc 0.7633 0.2367 0.0000  8 Y 3.39-3.59, 2 Nd 3.59

Calculated values
Distance to the lowest polymorph of the same formula ... 0.0000 eV/atom
Space-group type ... C2/m
ΔH_f (0 K) ... 0.18 eV/atom
Spin magnetization ... 0.000 μB/atom

A geometry-optimized La2Y5Er structure. Source: the Alexandria database, functional PBE-GGA.

a b c (Å): 6.6482 6.6482 15.9060
angles (deg): 90.00 90.00 129.39
Last column: nearest neighbours and their distance in Å.
Fractional coordinates of all 16 atoms:
1 La 0.2156 0.7844 0.6293  5 Y 3.33-3.61, 2 Er 3.44
2 La 0.2156 0.7844 0.8707  5 Y 3.33-3.61, 2 Er 3.44
3 La 0.7844 0.2156 0.1293  5 Y 3.33-3.61, 2 Er 3.44
4 La 0.7844 0.2156 0.3707  5 Y 3.33-3.61, 2 Er 3.44
5 Y 0.0807 0.9193 0.0917  1 Er 3.34, 4 Y 3.50-3.70, 1 La 3.61
6 Y 0.0807 0.9193 0.4083  1 Er 3.34, 4 Y 3.50-3.70, 1 La 3.61
7 Y 0.3837 0.6163 0.0493  1 Y 3.21, 3 La 3.33-3.49, 1 Er 3.50
8 Y 0.3837 0.6163 0.4507  1 Y 3.21, 3 La 3.33-3.49, 1 Er 3.50
9 Y 0.4608 0.5392 0.7500  1 Er 3.31, 2 La 3.52, 2 Y 3.70
10 Y 0.5392 0.4608 0.2500  1 Er 3.31, 2 La 3.52, 2 Y 3.70
11 Y 0.6163 0.3837 0.5493  1 Y 3.21, 3 La 3.33-3.49, 1 Er 3.50
12 Y 0.6163 0.3837 0.9507  1 Y 3.21, 3 La 3.33-3.49, 1 Er 3.50
13 Y 0.9193 0.0807 0.5917  1 Er 3.34, 4 Y 3.50-3.70, 1 La 3.61
14 Y 0.9193 0.0807 0.9083  1 Er 3.34, 4 Y 3.50-3.70, 1 La 3.61
15 Er 0.2635 0.7365 0.2500  5 Y 3.31-3.50, 4 La 3.44
16 Er 0.7365 0.2635 0.7500  5 Y 3.31-3.50, 4 La 3.44

Calculated values
Distance to the lowest polymorph of the same formula ... 0.0000 eV/atom
Space-group type ... Cmcm
ΔH_f (0 K) ... 0.13 eV/atom
Spin magnetization ... 0.000 μB/atom

A geometry-optimized Hg2AuC structure. Source: the Alexandria database, functional PBE-GGA.

a b c (Å): 7.0942 7.0942 7.0942
angles (deg): 132.79 132.79 68.98
Last column: nearest neighbours and their distance in Å.
Fractional coordinates of all 8 atoms:
1 Hg 0.0067 0.6250 0.8817  2 C 2.17
2 Hg 0.3750 0.2567 0.3817  2 C 2.17
3 Hg 0.7433 0.1250 0.1183  2 C 2.17
4 Hg 0.8750 0.9933 0.6183  2 C 2.17
5 Au 0.2500 0.7500 0.5000  4 Hg 2.92
6 Au 0.5000 0.5000 0.0000  4 Hg 2.92
7 C 0.0000 0.0000 0.0000  4 Hg 2.17
8 C 0.7500 0.2500 0.5000  4 Hg 2.17

Calculated values
Space-group type ... I-42d
ΔH_f (0 K) ... 1.17 eV/atom
Spin magnetization ... 0.000 μB/atom

A geometry-optimized Mg2NiMo structure. Source: the Alexandria database, functional PBE-GGA.

a b c (Å): 4.4714 4.4714 4.4714
angles (deg): 60.00 60.00 60.00
Last column: nearest neighbours and their distance in Å.
Fractional coordinates of all 4 atoms:
1 Mg 0.0000 0.0000 0.0000  4 Mo 2.74, 4 Mg 2.74
2 Mg 0.2500 0.2500 0.2500  4 Mg 2.74, 4 Ni 2.74
3 Ni 0.5000 0.5000 0.5000  4 Mo 2.74, 4 Mg 2.74
4 Mo 0.7500 0.7500 0.7500  4 Ni 2.74, 4 Mg 2.74

Calculated values
Distance to the lowest polymorph of the same formula ... 0.2637 eV/atom
Space-group type ... F-43m
ΔH_f (0 K) ... 0.33 eV/atom
Spin magnetization ... 0.483 μB/atom

A geometry-optimized Ac5La2PmSm structure. Source: the Alexandria database, functional PBE-GGA.

a b c (Å): 11.9822 11.9822 11.9822
angles (deg): 138.35 138.35 60.36
Last column: nearest neighbours and their distance in Å.
Fractional coordinates of all 18 atoms:
1 Ac 0.0000 0.0000 0.0000  4 La 3.39
2 Ac 0.0878 0.5878 0.9527  1 La 3.41, 1 Sm 3.57, 2 Pm 3.81
3 Ac 0.1352 0.0878 0.5000  1 La 3.41, 1 Sm 3.57, 2 Pm 3.81
4 Ac 0.3648 0.8648 0.9527  1 La 3.41, 1 Sm 3.57, 2 Pm 3.81
5 Ac 0.4122 0.3648 0.5000  1 La 3.41, 1 Sm 3.57, 2 Pm 3.81
6 Ac 0.5000 0.5000 0.0000  4 La 3.39
7 Ac 0.5878 0.6352 0.5000  1 La 3.41, 1 Sm 3.57, 2 Pm 3.81
8 Ac 0.6352 0.1352 0.0473  1 La 3.41, 1 Sm 3.57, 2 Pm 3.81
9 Ac 0.8648 0.9122 0.5000  1 La 3.41, 1 Sm 3.57, 2 Pm 3.81
10 Ac 0.9122 0.4122 0.0473  1 La 3.41, 1 Sm 3.57, 2 Pm 3.81
11 La 0.1210 0.3790 0.5000  1 La 2.92
12 La 0.3790 0.8790 0.2579  1 La 2.92
13 La 0.6210 0.1210 0.7421  1 La 2.92
14 La 0.8790 0.6210 0.5000  1 La 2.92
15 Pm 0.2500 0.2500 0.0000  8 Ac 3.81, 4 Sm 4.26
16 Pm 0.7500 0.7500 0.0000  8 Ac 3.81, 4 Sm 4.26
17 Sm 0.2500 0.7500 0.5000  4 Ac 3.57
18 Sm 0.7500 0.2500 0.5000  4 Ac 3.57

Calculated values
Space-group type ... I4/mcm
ΔH_f (0 K) ... 0.25 eV/atom
Spin magnetization ... 0.000 μB/atom

A geometry-optimized MgW3Au structure. Source: the Alexandria database, functional PBE-GGA.

a b c (Å): 4.5408 4.5408 4.5408
angles (deg): 90.00 90.00 90.00
Last column: nearest neighbours and their distance in Å.
Fractional coordinates of all 5 atoms:
1 Mg 0.0000 0.0000 0.0000  6 W 2.27
2 W 0.0000 0.0000 0.5000  2 Mg 2.27
3 W 0.0000 0.5000 0.0000  2 Mg 2.27
4 W 0.5000 0.0000 0.0000  2 Mg 2.27
5 Au 0.5000 0.5000 0.5000  12 W 3.21

Calculated values
Distance to the lowest polymorph of the same formula ... 0.0000 eV/atom
Space-group type ... Pm-3m
ΔH_f (0 K) ... 2.43 eV/atom
Spin magnetization ... 0.000 μB/atom

A geometry-optimized KIN2F structure. Source: the Alexandria database, functional PBE-GGA.

a b c (Å): 5.2994 5.2994 4.5983
angles (deg): 90.00 90.00 90.00
Last column: nearest neighbours and their distance in Å.
Fractional coordinates of all 5 atoms:
1 K 0.0000 0.0000 0.0000  8 N 3.51, 4 I 3.75
2 I 0.5000 0.5000 0.0000  2 F 2.30
3 N 0.0000 0.5000 0.5000  2 F 2.65
4 N 0.5000 0.0000 0.5000  2 F 2.65
5 F 0.5000 0.5000 0.5000  2 I 2.30

Calculated values
ΔE_f (raw) ... 1258 meV/atom
Distance to the lowest polymorph of the same formula ... 0.7675 eV/atom
Space-group type ... P4/mmm
Spin magnetization ... 1.064 μB/atom

A geometry-optimized Cs5As2Cl2 structure. Source: the Alexandria database, functional PBE-GGA.

a b c (Å): 10.3559 10.3559 9.2137
angles (deg): 90.00 90.00 52.64
Last column: nearest neighbours and their distance in Å.
Fractional coordinates of all 18 atoms:
1 Cs 0.0000 0.0000 0.0000  2 Cl 3.72, 4 As 3.83-3.84
2 Cs 0.0318 0.6834 0.6715  3 Cl 3.55-3.68, 2 As 3.68
3 Cs 0.1834 0.5318 0.1715  3 Cl 3.55-3.68, 2 As 3.68
4 Cs 0.3166 0.9682 0.6715  3 Cl 3.55-3.68, 2 As 3.68
5 Cs 0.4682 0.8166 0.1715  3 Cl 3.55-3.68, 2 As 3.68
6 Cs 0.5000 0.5000 0.5000  2 Cl 3.72, 4 As 3.83-3.84
7 Cs 0.5318 0.1834 0.8285  3 Cl 3.55-3.68, 2 As 3.68
8 Cs 0.6834 0.0318 0.3285  3 Cl 3.55-3.68, 2 As 3.68
9 Cs 0.8166 0.4682 0.8285  3 Cl 3.55-3.68, 2 As 3.68
10 Cs 0.9682 0.3166 0.3285  3 Cl 3.55-3.68, 2 As 3.68
11 As 0.0937 0.9063 0.4061  1 As 2.44
12 As 0.4063 0.5937 0.9061  1 As 2.44
13 As 0.5937 0.4063 0.0939  1 As 2.44
14 As 0.9063 0.0937 0.5939  1 As 2.44
15 Cl 0.2006 0.2006 0.0000  7 Cs 3.55-3.72
16 Cl 0.2994 0.2994 0.5000  7 Cs 3.55-3.72
17 Cl 0.7006 0.7006 0.5000  7 Cs 3.55-3.72
18 Cl 0.7994 0.7994 0.0000  7 Cs 3.55-3.72

Calculated values
ΔE_f (raw) ... -1079 meV/atom
Space-group type ... Cmce
Spin magnetization ... 0.116 μB/atom

A geometry-optimized Sr8Cu2Hg structure. Source: the Alexandria database, functional PBE-GGA.

a b c (Å): 8.7219 8.7219 6.7479
angles (deg): 99.09 99.09 112.20
Last column: nearest neighbours and their distance in Å.
Fractional coordinates of all 11 atoms:
1 Sr 0.0000 0.0000 0.0000  2 Cu 3.46, 1 Hg 3.74
2 Sr 0.0260 0.2937 0.5885  2 Cu 3.21-3.22, 1 Hg 3.45
3 Sr 0.1415 0.5883 0.1871  1 Hg 3.45, 2 Cu 3.57-3.63
4 Sr 0.2937 0.0260 0.5885  2 Cu 3.21-3.22, 1 Hg 3.45
5 Sr 0.4406 0.7049 0.7808  2 Cu 3.20-3.21, 1 Hg 3.50
6 Sr 0.5883 0.1415 0.1871  1 Hg 3.45, 2 Cu 3.57-3.63
7 Sr 0.7049 0.4406 0.7808  2 Cu 3.20-3.21, 1 Hg 3.50
8 Sr 0.7351 0.7351 0.3843  2 Cu 3.47, 1 Hg 3.53
9 Cu 0.0580 0.6782 0.6933  7 Sr 3.20-3.57
10 Cu 0.6782 0.0580 0.6933  7 Sr 3.20-3.57
11 Hg 0.3696 0.3696 0.3671  8 Sr 3.45-3.74

Calculated values
Space-group type ... Cm
ΔH_f (0 K) ... -0.05 eV/atom
Spin magnetization ... 0.000 μB/atom

> Which value of spin magnetization does entry 11 give?

0.116 μB/atom

> Which value of spin magnetization does entry 1 give?

0.000 μB/atom

> Which formula does entry 2 have?

La6PrPd2